{
  "formula": "Nd3HgPd",
  "functional": "GGA-PBE",
  "state": "relaxed",
  "e_tot_ry_per_atom": -0.31766,
  "crystal_system": "orthorhombic",
  "e_above_lowest_polymorph_mev_per_atom": 59,
  "lattice_angstrom": [[5.073, -7.631, 0.000], [5.073, 7.631, 0.000], [0.000, 0.000, 4.021]],
  "species": ["Nd", "Nd", "Nd", "Nd", "Nd", "Nd", "Hg", "Hg", "Pd", "Pd"],
  "frac_coords": [[0.165, 0.835, 0.000], [0.190, 0.421, 0.500], [0.421, 0.190, 0.500], [0.579, 0.810, 0.500], [0.810, 0.579, 0.500], [0.835, 0.165, 0.000], [0.000, 0.000, 0.500], [0.500, 0.500, 0.000], [0.000, 0.500, 0.000], [0.500, 0.000, 0.000]]
}

{
  "formula": "NdHgPd3",
  "functional": "GGA-PBE",
  "state": "relaxed",
  "e_tot_ry_per_atom": -0.32626,
  "crystal_system": "orthorhombic",
  "lattice_angstrom": [[5.613, -4.547, 0.000], [5.613, 4.547, 0.000], [0.000, 0.000, 9.277]],
  "species": ["Nd", "Nd", "Nd", "Nd", "Hg", "Hg", "Hg", "Hg", "Pd", "Pd", "Pd", "Pd", "Pd", "Pd", "Pd", "Pd", "Pd", "Pd", "Pd", "Pd"],
  "frac_coords": [[0.018, 0.982, 0.750], [0.405, 0.595, 0.250], [0.595, 0.405, 0.750], [0.982, 0.018, 0.250], [0.000, 0.500, 0.000], [0.000, 0.500, 0.500], [0.500, 0.000, 0.000], [0.500, 0.000, 0.500], [0.181, 0.566, 0.750], [0.213, 0.787, 0.000], [0.213, 0.787, 0.500], [0.375, 0.375, 0.000], [0.375, 0.375, 0.500], [0.434, 0.819, 0.750], [0.566, 0.181, 0.250], [0.625, 0.625, 0.000], [0.625, 0.625, 0.500], [0.787, 0.213, 0.000], [0.787, 0.213, 0.500], [0.819, 0.434, 0.250]]
}

{
  "formula": "NdHg2Pd8",
  "functional": "GGA-PBE",
  "state": "relaxed",
  "e_tot_ry_per_atom": -0.33352,
  "crystal_system": "monoclinic",
  "lattice_angstrom": [[3.762, -7.127, 0.000], [3.762, 7.127, 0.000], [-3.285, 0.000, 3.753]],
  "species": ["Nd", "Hg", "Hg", "Pd", "Pd", "Pd", "Pd", "Pd", "Pd", "Pd", "Pd"],
  "frac_coords": [[0.000, 0.000, 0.000], [0.316, 0.684, 0.500], [0.684, 0.316, 0.500], [0.104, 0.374, 0.737], [0.198, 0.802, 0.000], [0.374, 0.104, 0.737], [0.495, 0.495, 0.247], [0.505, 0.505, 0.753], [0.626, 0.896, 0.263], [0.802, 0.198, 0.000], [0.896, 0.626, 0.263]]
}

{
  "formula": "Nd3Hg3Pd2",
  "functional": "GGA-PBE",
  "state": "relaxed",
  "e_tot_ry_per_atom": -0.27586,
  "crystal_system": "monoclinic",
  "e_above_lowest_polymorph_mev_per_atom": 96,
  "lattice_angstrom": [[18.081, 0.000, 0.000], [0.000, 4.307, 0.000], [-0.973, 0.000, 5.196]],
  "species": ["Nd", "Nd", "Nd", "Nd", "Nd", "Nd", "Hg", "Hg", "Hg", "Hg", "Hg", "Hg", "Pd", "Pd", "Pd", "Pd"],
  "frac_coords": [[0.000, 0.000, 0.000], [0.159, 0.000, 0.600], [0.341, 0.500, 0.400], [0.500, 0.500, 0.000], [0.659, 0.500, 0.600], [0.841, 0.000, 0.400], [0.000, 0.500, 0.500], [0.131, 0.500, 0.088], [0.369, 0.000, 0.912], [0.500, 0.000, 0.500], [0.631, 0.000, 0.088], [0.869, 0.500, 0.912], [0.234, 0.000, 0.155], [0.266, 0.500, 0.845], [0.734, 0.500, 0.155], [0.766, 0.000, 0.845]]
}

{
  "formula": "Nd6HgPd3",
  "functional": "GGA-PBE",
  "state": "relaxed",
  "e_tot_ry_per_atom": -0.35889,
  "crystal_system": "orthorhombic",
  "lattice_angstrom": [[5.716, -7.186, 0.000], [5.716, 7.186, 0.000], [0.000, 0.000, 7.311]],
  "species": ["Nd", "Nd", "Nd", "Nd", "Nd", "Nd", "Nd", "Nd", "Nd", "Nd", "Nd", "Nd", "Hg", "Hg", "Pd", "Pd", "Pd", "Pd", "Pd", "Pd"],
  "frac_coords": [[0.011, 0.989, 0.500], [0.084, 0.513, 0.497], [0.233, 0.767, 0.838], [0.291, 0.372, 0.918], [0.372, 0.291, 0.418], [0.487, 0.916, 0.497], [0.513, 0.084, 0.997], [0.628, 0.709, 0.918], [0.709, 0.628, 0.418], [0.767, 0.233, 0.338], [0.916, 0.487, 0.997], [0.989, 0.011, 0.000], [0.193, 0.807, 0.255], [0.807, 0.193, 0.755], [0.084, 0.276, 0.233], [0.276, 0.084, 0.733], [0.412, 0.588, 0.618], [0.588, 0.412, 0.118], [0.724, 0.916, 0.233], [0.916, 0.724, 0.733]]
}

{
  "formula": "Nd3HgPd12",
  "functional": "GGA-PBE",
  "state": "relaxed",
  "e_tot_ry_per_atom": -0.39712,
  "crystal_system": "tetragonal",
  "lattice_angstrom": [[4.174, 0.000, 0.000], [0.000, 4.174, 0.000], [0.000, 0.000, 16.642]],
  "species": ["Nd", "Nd", "Nd", "Hg", "Pd", "Pd", "Pd", "Pd", "Pd", "Pd", "Pd", "Pd", "Pd", "Pd", "Pd", "Pd"],
  "frac_coords": [[0.000, 0.000, 0.000], [0.000, 0.000, 0.256], [0.000, 0.000, 0.744], [0.000, 0.000, 0.500], [0.000, 0.500, 0.127], [0.000, 0.500, 0.381], [0.000, 0.500, 0.619], [0.000, 0.500, 0.873], [0.500, 0.000, 0.127], [0.500, 0.000, 0.381], [0.500, 0.000, 0.619], [0.500, 0.000, 0.873], [0.500, 0.500, 0.000], [0.500, 0.500, 0.253], [0.500, 0.500, 0.500], [0.500, 0.500, 0.747]]
}

Number 1: ΔE_f -0.362 eV per atom. Number 2: ΔE_f -0.309 eV per atom. Number 3: ΔE_f -0.273 eV per atom. Number 4: ΔE_f -0.554 eV per atom. Number 5: ΔE_f -0.434 eV per atom. Number 6: ΔE_f -0.596 eV per atom.